This record from Alexandria via LeMat-Bulk describes Ho12Tm3Th after structural relaxation. The functional is PBE-GGA.

```
data_Ho12Tm3Th
_chemical_formula_sum 'Ho12 Tm3 Th1'
_cell_length_a 4.986
_cell_length_b 4.986
_cell_length_c 19.887
_cell_angle_alpha 90.00
_cell_angle_beta 90.00
_cell_angle_gamma 90.00
_symmetry_space_group_name_H-M 'P 4/m m m'
_symmetry_Int_Tables_number 123
_symmetry_space_group_name_Hall '-P 4 2'
loop_
_atom_site_label
_atom_site_type_symbol
_atom_site_fract_x
_atom_site_fract_y
_atom_site_fract_z
_atom_site_occupancy
Ho1 Ho 0.000 0.000 0.000 1
Ho2 Ho 0.000 0.000 0.248 1
Ho3 Ho 0.000 0.000 0.500 1
Ho4 Ho 0.000 0.500 0.125 1
Ho5 Ho 0.000 0.500 0.375 1
Tm1 Tm 0.500 0.500 0.000 1
Tm2 Tm 0.500 0.500 0.250 1
Th1 Th 0.500 0.500 0.500 1
```

Values from the calculation:
* energy of formation: 0.03 eV per atom

---

This record from Alexandria via LeMat-Bulk describes Ho2CuRh after structural relaxation. The functional is PBE-GGA.

```
data_Ho2CuRh
_chemical_formula_sum 'Ho4 Cu2 Rh2'
_cell_length_a 4.877
_cell_length_b 4.877
_cell_length_c 6.812
_cell_angle_alpha 90.00
_cell_angle_beta 90.00
_cell_angle_gamma 90.00
_symmetry_space_group_name_H-M 'I 4/m m m'
_symmetry_Int_Tables_number 139
_symmetry_space_group_name_Hall '-I 4 2'
loop_
_atom_site_label
_atom_site_type_symbol
_atom_site_fract_x
_atom_site_fract_y
_atom_site_fract_z
_atom_site_occupancy
Ho1 Ho 0.000 0.500 0.250 1
Cu1 Cu 0.000 0.000 0.000 1
Rh1 Rh 0.000 0.000 0.500 1
```

Values from the calculation:
* energy of formation: -0.59 eV per atom

---

This record from Alexandria via LeMat-Bulk describes Hf2PaGa after structural relaxation. The functional is PBE-GGA.

```
data_Hf2PaGa
_chemical_formula_sum 'Hf2 Pa1 Ga1'
_cell_length_a 4.551
_cell_length_b 4.551
_cell_length_c 4.085
_cell_angle_alpha 90.00
_cell_angle_beta 90.00
_cell_angle_gamma 90.00
_symmetry_space_group_name_H-M 'P 4/m m m'
_symmetry_Int_Tables_number 123
_symmetry_space_group_name_Hall '-P 4 2'
loop_
_atom_site_label
_atom_site_type_symbol
_atom_site_fract_x
_atom_site_fract_y
_atom_site_fract_z
_atom_site_occupancy
Hf1 Hf 0.000 0.500 0.000 1
Pa1 Pa 0.000 0.000 0.500 1
Ga1 Ga 0.500 0.500 0.500 1
```

Values from the calculation:
* energy of formation: -0.15 eV per atom
* ΔE to the lowest computed polymorph: 0 meV per atom

---

This record from Alexandria via LeMat-Bulk describes LaErTm2Se4 after structural relaxation. The functional is PBE-GGA.

```
data_LaErTm2Se4
_chemical_formula_sum 'La1 Er1 Tm2 Se4'
_cell_length_a 7.067
_cell_length_b 4.026
_cell_length_c 7.220
_cell_angle_alpha 90.00
_cell_angle_beta 108.55
_cell_angle_gamma 90.00
_symmetry_space_group_name_H-M 'P 1 2/m 1'
_symmetry_Int_Tables_number 10
loop_
_symmetry_equiv_pos_as_xyz
'x,y,z'
'-x,-y,-z'
'-x,y,-z'
'x,-y,z'
loop_
_atom_site_label
_atom_site_type_symbol
_atom_site_fract_x
_atom_site_fract_y
_atom_site_fract_z
_atom_site_occupancy
La1 La 0.000 0.000 0.000 1
Er1 Er 0.500 0.500 0.000 1
Tm1 Tm 0.000 0.500 0.500 1
Tm2 Tm 0.500 0.000 0.500 1
Se1 Se 0.256 0.000 0.740 1
Se2 Se 0.265 0.500 0.267 1
```

Values from the calculation:
* raw formation energy: -1743 meV/atom

---

This record from Alexandria via LeMat-Bulk describes K2Os after structural relaxation. The functional is PBE-GGA.

```
data_K2Os
_chemical_formula_sum 'K2 Os1'
_cell_length_a 3.0002
_cell_length_b 3.0002
_cell_length_c 9.6870
_cell_angle_alpha 90.00
_cell_angle_beta 90.00
_cell_angle_gamma 120.00
_symmetry_space_group_name_H-M 'P -3 m 1'
_symmetry_Int_Tables_number 164
_symmetry_space_group_name_Hall '-P 3 2"'
loop_
_atom_site_label
_atom_site_type_symbol
_atom_site_fract_x
_atom_site_fract_y
_atom_site_fract_z
_atom_site_occupancy
K1 K 0.3333 0.6667 0.2810 1
Os1 Os 0.0000 0.0000 0.0000 1
```

Values from the calculation:
* energy of formation: 1.42 eV per atom
* ΔE to the lowest computed polymorph: 725 meV per atom

---

This record from Alexandria via LeMat-Bulk describes AlRe2Bi4 after structural relaxation. The functional is PBE-GGA.

```
data_AlRe2Bi4
_chemical_formula_sum 'Al2 Re4 Bi8'
_cell_length_a 5.476
_cell_length_b 5.476
_cell_length_c 13.739
_cell_angle_alpha 90.00
_cell_angle_beta 90.00
_cell_angle_gamma 90.00
_symmetry_space_group_name_H-M 'I 4/m m m'
_symmetry_Int_Tables_number 139
_symmetry_space_group_name_Hall '-I 4 2'
loop_
_atom_site_label
_atom_site_type_symbol
_atom_site_fract_x
_atom_site_fract_y
_atom_site_fract_z
_atom_site_occupancy
Al1 Al 0.000 0.000 0.000 1
Re1 Re 0.000 0.000 0.415 1
Bi1 Bi 0.000 0.000 0.215 1
Bi2 Bi 0.000 0.500 0.000 1
```

Values from the calculation:
* energy of formation: 1.14 eV per atom

---

This record from Alexandria via LeMat-Bulk describes NaGa2Pb after structural relaxation. The functional is PBE-GGA.

```
data_NaGa2Pb
_chemical_formula_sum 'Na1 Ga2 Pb1'
_cell_length_a 4.501
_cell_length_b 4.501
_cell_length_c 4.611
_cell_angle_alpha 90.00
_cell_angle_beta 90.00
_cell_angle_gamma 90.00
_symmetry_space_group_name_H-M 'P 4/m m m'
_symmetry_Int_Tables_number 123
_symmetry_space_group_name_Hall '-P 4 2'
loop_
_atom_site_label
_atom_site_type_symbol
_atom_site_fract_x
_atom_site_fract_y
_atom_site_fract_z
_atom_site_occupancy
Na1 Na 0.000 0.000 0.000 1
Ga1 Ga 0.000 0.500 0.500 1
Pb1 Pb 0.500 0.500 0.000 1
```

Values from the calculation:
* energy of formation: 0.00 eV per atom

---

This record from Alexandria via LeMat-Bulk describes Cs2Ca2Pt after structural relaxation. The functional is PBE-GGA.

```
data_Cs2Ca2Pt
_chemical_formula_sum 'Cs4 Ca4 Pt2'
_cell_length_a 7.829
_cell_length_b 7.829
_cell_length_c 7.472
_cell_angle_alpha 90.00
_cell_angle_beta 90.00
_cell_angle_gamma 90.00
_symmetry_space_group_name_H-M 'P 4/m b m'
_symmetry_Int_Tables_number 127
_symmetry_space_group_name_Hall '-P 4 2ab'
loop_
_atom_site_label
_atom_site_type_symbol
_atom_site_fract_x
_atom_site_fract_y
_atom_site_fract_z
_atom_site_occupancy
Cs1 Cs 0.195 0.305 0.000 1
Ca1 Ca 0.185 0.685 0.500 1
Pt1 Pt 0.000 0.000 0.500 1
```

Values from the calculation:
* energy of formation: -0.07 eV per atom
* ΔE to the lowest computed polymorph: 0 meV per atom

---

This record from Alexandria via LeMat-Bulk describes LaNdErMg after structural relaxation. The functional is PBE-GGA.

```
data_LaNdErMg
_chemical_formula_sum 'La1 Nd1 Er1 Mg1'
_cell_length_a 3.755
_cell_length_b 3.755
_cell_length_c 8.958
_cell_angle_alpha 90.00
_cell_angle_beta 90.00
_cell_angle_gamma 90.00
_symmetry_space_group_name_H-M 'P 4 m m'
_symmetry_Int_Tables_number 99
loop_
_symmetry_equiv_pos_as_xyz
'x,y,z'
'-y,x,z'
'-x,-y,z'
'y,-x,z'
'-x,y,z'
'y,x,z'
'x,-y,z'
'-y,-x,z'
loop_
_atom_site_label
_atom_site_type_symbol
_atom_site_fract_x
_atom_site_fract_y
_atom_site_fract_z
_atom_site_occupancy
La1 La 0.000 0.000 0.000 1
Nd1 Nd 0.500 0.500 0.712 1
Er1 Er 0.500 0.500 0.272 1
Mg1 Mg 0.000 0.000 0.481 1
```

Values from the calculation:
* energy of formation: -0.03 eV per atom
* ΔE to the lowest computed polymorph: 0 meV per atom

---

This record from Alexandria via LeMat-Bulk describes K2Tl3F8 after structural relaxation. The functional is PBE-GGA.

```
data_K2Tl3F8
_chemical_formula_sum 'K2 Tl3 F8'
_cell_length_a 7.100
_cell_length_b 3.842
_cell_length_c 10.355
_cell_angle_alpha 90.00
_cell_angle_beta 107.09
_cell_angle_gamma 90.00
_symmetry_space_group_name_H-M 'P 1 2/m 1'
_symmetry_Int_Tables_number 10
loop_
_symmetry_equiv_pos_as_xyz
'x,y,z'
'-x,-y,-z'
'-x,y,-z'
'x,-y,z'
loop_
_atom_site_label
_atom_site_type_symbol
_atom_site_fract_x
_atom_site_fract_y
_atom_site_fract_z
_atom_site_occupancy
K1 K 0.244 0.000 0.199 1
Tl1 Tl 0.000 0.000 0.500 1
Tl2 Tl 0.268 0.500 0.844 1
F1 F 0.049 0.500 0.312 1
F2 F 0.143 0.000 0.917 1
F3 F 0.335 0.000 0.719 1
F4 F 0.395 0.500 0.089 1
```

Values from the calculation:
* raw formation energy: -2107 meV/atom

---

This record from Alexandria via LeMat-Bulk describes LaPr3Sm3 after structural relaxation. The functional is PBE-GGA.

```
data_LaPr3Sm3
_chemical_formula_sum 'La3 Pr9 Sm9'
_cell_length_a 10.7998
_cell_length_b 10.7998
_cell_length_c 7.3520
_cell_angle_alpha 90.00
_cell_angle_beta 90.00
_cell_angle_gamma 120.00
_symmetry_space_group_name_H-M 'R 3 m'
_symmetry_Int_Tables_number 160
_symmetry_space_group_name_Hall 'R 3 -2"'
loop_
_atom_site_label
_atom_site_type_symbol
_atom_site_fract_x
_atom_site_fract_y
_atom_site_fract_z
_atom_site_occupancy
La1 La 0.0000 0.0000 0.0000 1
Pr1 Pr 0.0466 0.5233 0.4776 1
Sm1 Sm 0.0883 0.5441 0.0181 1
```

Values from the calculation:
* energy of formation: 0.22 eV per atom
* ΔE to the lowest computed polymorph: 96 meV per atom

---

This record from Alexandria via LeMat-Bulk describes KTl2CdPt after structural relaxation. The functional is PBE-GGA.

```
data_KTl2CdPt
_chemical_formula_sum 'K1 Tl2 Cd1 Pt1'
_cell_length_a 5.323
_cell_length_b 5.323
_cell_length_c 6.180
_cell_angle_alpha 90.00
_cell_angle_beta 90.00
_cell_angle_gamma 90.00
_symmetry_space_group_name_H-M 'P 4/m m m'
_symmetry_Int_Tables_number 123
_symmetry_space_group_name_Hall '-P 4 2'
loop_
_atom_site_label
_atom_site_type_symbol
_atom_site_fract_x
_atom_site_fract_y
_atom_site_fract_z
_atom_site_occupancy
K1 K 0.000 0.000 0.000 1
Tl1 Tl 0.000 0.500 0.500 1
Cd1 Cd 0.500 0.500 0.000 1
Pt1 Pt 0.000 0.000 0.500 1
```

Values from the calculation:
* energy of formation: -0.02 eV per atom
* ΔE to the lowest computed polymorph: 114 meV per atom